1.
## Pa3Hg5Se12 (PBE-GGA)

Data for a relaxed Pa3Hg5Se12 crystal.

Results
For the uncorrected energy, the calculation gives -0.3069 Ry per atom. Its formation energy without anion corrections is -0.585 eV per atom.

Cell and atoms, written as POSCAR:
```
Pa3Hg5Se12
1.0
-4.215 11.414 -7.405
-6.278 0.051 12.786
14.143 0.371 1.654
Se Hg Pa
48 20 12
direct
0.445 0.671 0.082
0.227 0.555 0.638
0.911 0.829 0.773
0.727 0.138 0.055
0.862 0.273 0.445
0.418 0.362 0.589
0.945 0.582 0.171
0.329 0.773 0.411
0.582 0.638 0.411
0.329 0.555 0.418
0.918 0.089 0.862
0.227 0.671 0.089
0.138 0.411 0.082
0.273 0.411 0.829
0.589 0.862 0.418
0.638 0.582 0.911
0.945 0.362 0.273
0.082 0.911 0.138
0.362 0.418 0.089
0.055 0.418 0.829
0.555 0.227 0.138
0.082 0.171 0.445
0.089 0.171 0.227
0.171 0.082 0.945
0.089 0.918 0.362
0.671 0.227 0.589
0.727 0.589 0.171
0.918 0.829 0.555
0.582 0.945 0.671
0.138 0.727 0.555
0.055 0.638 0.727
0.445 0.773 0.862
0.773 0.329 0.911
0.555 0.329 0.918
0.589 0.727 0.671
0.411 0.273 0.329
0.638 0.055 0.227
0.773 0.445 0.362
0.829 0.911 0.273
0.273 0.862 0.945
0.911 0.082 0.638
0.829 0.918 0.055
0.671 0.445 0.582
0.418 0.055 0.329
0.362 0.945 0.773
0.411 0.138 0.582
0.171 0.089 0.727
0.862 0.589 0.918
0.375 0.125 0.750
0.000 0.500 0.500
0.750 0.625 0.375
0.000 0.000 0.500
0.125 0.750 0.375
0.125 0.375 0.250
0.875 0.250 0.625
0.250 0.875 0.125
0.875 0.625 0.750
0.000 0.500 0.000
0.500 0.000 0.500
0.500 0.500 0.000
0.000 0.000 0.000
0.250 0.375 0.625
0.375 0.250 0.125
0.625 0.750 0.875
0.500 0.500 0.500
0.625 0.875 0.250
0.500 0.000 0.000
0.750 0.125 0.875
0.375 0.750 0.625
0.625 0.250 0.375
0.625 0.375 0.750
0.875 0.125 0.250
0.875 0.750 0.125
0.375 0.625 0.250
0.250 0.625 0.875
0.750 0.375 0.125
0.750 0.875 0.625
0.250 0.125 0.375
0.125 0.875 0.750
0.125 0.250 0.875
```

2.
## GdPaCdGa (PBE-GGA)

Data for a relaxed GdPaCdGa crystal.

Results
For the uncorrected energy, the calculation gives -0.5113 Ry per atom. The calculation puts the formation energy at -0.077 eV per atom.

Cell and atoms, written as POSCAR:
```
GdPaCdGa
1.0
-3.935 3.294 -0.820
-4.770 -1.834 -0.942
-3.738 0.523 3.572
Pa Cd Ga Gd
1 1 1 1
direct
0.500 0.500 0.500
0.750 0.750 0.750
0.250 0.250 0.250
0.000 0.000 0.000
```